1.
A plane-wave DFT calculation with GGA-PBE was carried out for an optimized crystal structure of NbSbSe.

Summary:
E   -19.06 eV per formula unit
SG   No. 156
Formation energy from raw total energies   -45 kJ/mol of atoms
Magnetic moment   0.0 μB per cell

Cell: 3.3256 3.3256 7.8750 Å, 90.00 90.00 120.00°
Positions (direct):
1 Nb 0.0000 0.0000 0.0000
2 Sb 0.3333 0.6667 0.7130
3 Se 0.6667 0.3333 0.2200



2.
A plane-wave DFT calculation with GGA-PBE was carried out for an optimized crystal structure of Nb2SbSe.

Summary:
E   -26.48 eV per formula unit
SG   No. 122
Excess energy over the best structure of this formula in the dataset   0.482 eV/atom
Formation energy from raw total energies   31 kJ/mol of atoms
Magnetic moment   0.0 μB per cell

Cell: 8.8769 8.8769 8.8769 Å, 148.15 148.15 45.67°
Positions (direct):
1 Nb 0.0595 0.6250 0.9345
2 Nb 0.3750 0.3095 0.4345
3 Nb 0.6905 0.1250 0.0655
4 Nb 0.8750 0.9405 0.5655
5 Sb 0.2500 0.7500 0.5000
6 Sb 0.5000 0.5000 0.0000
7 Se 0.0000 0.0000 0.0000
8 Se 0.7500 0.2500 0.5000



3.
A plane-wave DFT calculation with GGA-PBE was carried out for an optimized crystal structure of Nb2SbSe.

Summary:
E   -28.41 eV per formula unit
SG   No. 225
Excess energy over the best structure of this formula in the dataset   0.000 eV/atom
Formation energy from raw total energies   -16 kJ/mol of atoms
Magnetic moment   0.8 μB per cell

Cell: 4.7299 4.7299 4.7299 Å, 60.00 60.00 60.00°
Positions (direct):
1 Nb 0.2500 0.2500 0.2500
2 Nb 0.7500 0.7500 0.7500
3 Sb 0.0000 0.0000 0.0000
4 Se 0.5000 0.5000 0.5000